This record from Alexandria describes a geometry-optimized Sr5TlSi2 structure. The functional is GGA-PBE.

a = 8.242 Å, b = 8.242 Å, c = 16.427 Å
α = 90.00°, β = 90.00°, γ = 90.00°
Space group I4/mcm (No. 140)
Unique sites:
1 Sr 0.000 0.000 0.000
2 Sr 0.177 0.323 0.135
3 Tl 0.000 0.000 0.250
4 Si 0.106 0.394 0.500

=====

This record from Alexandria describes a geometry-optimized NaZrS2 structure. The functional is GGA-PBE.

a = 6.290 Å, b = 6.290 Å, c = 11.137 Å
α = 90.00°, β = 90.00°, γ = 90.00°
Space group I-42d (No. 122)
Unique sites:
1 Na 0.000 0.000 0.000
2 Zr 0.000 0.000 0.500
3 S 0.211 0.250 0.625

=====

This record from Alexandria describes a geometry-optimized RbTlOsO6 structure. The functional is GGA-PBE.

a = 5.733 Å, b = 5.743 Å, c = 5.864 Å
α = 90.08°, β = 90.26°, γ = 119.82°
Space group P1 (No. 1)
Unique sites:
1 Rb 0.000 0.000 0.000
2 Tl 0.666 0.333 0.581
3 Os 0.332 0.666 0.460
4 O 0.036 0.609 0.306
5 O 0.068 0.424 0.684
6 O 0.353 0.933 0.682
7 O 0.386 0.425 0.307
8 O 0.571 0.959 0.306
9 O 0.576 0.645 0.684

=====

This record from Alexandria describes a geometry-optimized Th8Te4PPt3 structure. The functional is GGA-PBE.

a = 8.5427 Å, b = 8.5427 Å, c = 22.3825 Å
α = 90.00°, β = 90.00°, γ = 120.00°
Space group R-3m (No. 166, hexagonal axes)
Unique sites:
1 Th 0.0000 0.0000 0.2341
2 Th 0.0022 0.5011 0.2383
3 Te 0.0000 0.0000 0.0000
4 Te 0.0000 0.5000 0.0000
5 P 0.0000 0.0000 0.5000
6 Pt 0.0000 0.5000 0.5000

=====

This record from Alexandria describes a geometry-optimized Tb4CdBi structure. The functional is GGA-PBE.

a = 5.666 Å, b = 21.243 Å, c = 6.478 Å
α = 90.00°, β = 90.00°, γ = 90.00°
Space group Cmcm (No. 63)
Unique sites:
1 Tb 0.000 0.063 0.250
2 Tb 0.000 0.208 0.002
3 Tb 0.000 0.370 0.250
4 Cd 0.000 0.077 0.750
5 Bi 0.000 0.349 0.750

Results
Calculated formation energy = -0.169 eV/atom

=====

This record from Alexandria describes a geometry-optimized Mn2CdPt structure. The functional is GGA-PBE.

a = 2.8440 Å, b = 2.8440 Å, c = 26.8199 Å
α = 90.00°, β = 90.00°, γ = 120.00°
Space group R3m (No. 160, hexagonal axes)
Unique sites:
1 Mn 0.0000 0.0000 0.0000
2 Mn 0.0000 0.0000 0.2618
3 Cd 0.0000 0.0000 0.5049
4 Pt 0.0000 0.0000 0.7457

Results
Calculated formation energy = 0.060 eV/atom

=====

This record from Alexandria describes a geometry-optimized K5RbNa6 structure. The functional is GGA-PBE.

a = 6.796 Å, b = 20.390 Å, c = 9.487 Å
α = 90.00°, β = 90.74°, γ = 90.00°
Space group C2/m (No. 12)
Unique sites:
1 K 0.000 0.000 0.000
2 K 0.000 0.333 0.500
3 K 0.000 0.336 0.000
4 Rb 0.000 0.000 0.500
5 Na 0.000 0.170 0.242
6 Na 0.001 0.500 0.756

Results
Calculated formation energy = 0.028 eV/atom

=====

This record from Alexandria describes a geometry-optimized Sr2YPuS4 structure. The functional is GGA-PBE.

a = 7.058 Å, b = 4.074 Å, c = 7.190 Å
α = 90.00°, β = 109.17°, γ = 90.00°
Space group P2/m (No. 10)
Unique sites:
1 Sr 0.000 0.000 0.000
2 Sr 0.500 0.500 0.000
3 Y 0.000 0.500 0.500
4 Pu 0.500 0.000 0.500
5 S 0.240 0.000 0.731
6 S 0.254 0.500 0.269

=====

This record from Alexandria describes a geometry-optimized Th3Al7Zn2 structure. The functional is GGA-PBE.

a = 5.6738 Å, b = 5.6738 Å, c = 26.1433 Å
α = 90.00°, β = 90.00°, γ = 120.00°
Space group R-3m (No. 166, hexagonal axes)
Unique sites:
1 Th 0.0000 0.0000 0.0000
2 Th 0.0000 0.0000 0.1410
3 Al 0.0000 0.0000 0.5000
4 Al 0.0073 0.5037 0.9191
5 Zn 0.0000 0.0000 0.3355

Results
Calculated formation energy = -0.357 eV/atom

=====

This record from Alexandria describes a geometry-optimized LiPt2Au2 structure. The functional is GGA-PBE.

a = 3.710 Å, b = 3.710 Å, c = 13.788 Å
α = 90.00°, β = 90.00°, γ = 90.00°
Space group I4/mmm (No. 139)
Unique sites:
1 Li 0.000 0.000 0.000
2 Pt 0.000 0.500 0.250
3 Au 0.000 0.000 0.405

Results
Calculated formation energy = 0.000 eV/atom

=====

This record from Alexandria describes a geometry-optimized Pm6CuRh2I3 structure. The functional is GGA-PBE.

a = 7.246 Å, b = 12.545 Å, c = 8.425 Å
α = 90.00°, β = 106.67°, γ = 90.00°
Space group C2/m (No. 12)
Unique sites:
1 Pm 0.221 0.000 0.186
2 Pm 0.233 0.329 0.186
3 Cu 0.000 0.500 0.000
4 Rh 0.000 0.167 0.000
5 I 0.000 0.000 0.500
6 I 0.000 0.334 0.500

=====

This record from Alexandria describes a geometry-optimized PPb3N structure. The functional is GGA-PBE.

a = 4.986 Å, b = 4.986 Å, c = 4.986 Å
α = 90.00°, β = 90.00°, γ = 90.00°
Space group Pm-3m (No. 221)
Unique sites:
1 P 0.000 0.000 0.000
2 Pb 0.000 0.500 0.500
3 N 0.500 0.500 0.500

=====

This record from Alexandria describes a geometry-optimized Rb2HfAsH structure. The functional is GGA-PBE.

a = 4.460 Å, b = 4.460 Å, c = 6.806 Å
α = 90.00°, β = 90.00°, γ = 90.00°
Space group P4/mmm (No. 123)
Unique sites:
1 Rb 0.000 0.500 0.000
2 Hf 0.000 0.000 0.500
3 As 0.500 0.500 0.500
4 H 0.500 0.500 0.000

=====

This record from Alexandria describes a geometry-optimized CaYRu structure. The functional is GGA-PBE.

a = 13.310 Å, b = 3.454 Å, c = 7.000 Å
α = 90.00°, β = 104.81°, γ = 90.00°
Space group C2/m (No. 12)
Unique sites:
1 Ca 0.128 0.000 0.064
2 Y 0.126 0.000 0.561
3 Ru 0.001 0.500 0.731

Results
Calculated formation energy = -0.107 eV/atom

=====

This record from Alexandria describes a geometry-optimized Cr2SbBr structure. The functional is GGA-PBE.

a = 3.412 Å, b = 4.402 Å, c = 5.922 Å
α = 90.00°, β = 90.00°, γ = 90.00°
Space group Pmmm (No. 47)
Unique sites:
1 Cr 0.000 0.000 0.000
2 Cr 0.000 0.500 0.500
3 Sb 0.500 0.000 0.500
4 Br 0.500 0.500 0.000

=====

This record from Alexandria describes a geometry-optimized Dy2BiRu structure. The functional is GGA-PBE.

a = 10.868 Å, b = 13.638 Å, c = 6.859 Å
α = 90.00°, β = 129.08°, γ = 90.00°
Space group C2/c (No. 15)
Unique sites:
1 Dy 0.202 0.125 0.191
2 Dy 0.202 0.125 0.712
3 Bi 0.000 0.277 0.250
4 Bi 0.000 0.471 0.750
5 Ru 0.000 0.000 0.250
6 Ru 0.000 0.244 0.750

Results
Calculated formation energy = -0.434 eV/atom

=====

This record from Alexandria describes a geometry-optimized K2NaFe structure. The functional is GGA-PBE.

a = 9.778 Å, b = 9.778 Å, c = 7.104 Å
α = 90.00°, β = 90.00°, γ = 90.00°
Space group I-42d (No. 122)
Unique sites:
1 K 0.217 0.250 0.125
2 Na 0.000 0.000 0.500
3 Fe 0.000 0.000 0.000

Results
Calculated formation energy = 0.887 eV/atom

=====

This record from Alexandria describes a geometry-optimized Nb2CrCu2 structure. The functional is GGA-PBE.

a = 6.670 Å, b = 6.670 Å, c = 3.438 Å
α = 90.00°, β = 90.00°, γ = 90.00°
Space group P4/mbm (No. 127)
Unique sites:
1 Nb 0.173 0.327 0.000
2 Cr 0.000 0.000 0.500
3 Cu 0.127 0.627 0.500

Results
Calculated formation energy = 0.318 eV/atom

=====

This record from Alexandria describes a geometry-optimized Ti5Be4Tc structure. The functional is GGA-PBE.

a = 3.043 Å, b = 3.043 Å, c = 14.340 Å
α = 90.00°, β = 90.00°, γ = 90.00°
Space group P4/mmm (No. 123)
Unique sites:
1 Ti 0.000 0.000 0.000
2 Ti 0.000 0.000 0.197
3 Ti 0.000 0.000 0.395
4 Be 0.500 0.500 0.098
5 Be 0.500 0.500 0.295
6 Tc 0.500 0.500 0.500

Results
Calculated formation energy = -0.216 eV/atom

=====

This record from Alexandria describes a geometry-optimized LiPrCdBi structure. The functional is GGA-PBE.

a = 7.578 Å, b = 7.578 Å, c = 7.578 Å
α = 90.00°, β = 90.00°, γ = 90.00°
Space group F-43m (No. 216)
Unique sites:
1 Li 0.000 0.000 0.000
2 Pr 0.000 0.000 0.500
3 Cd 0.250 0.250 0.750
4 Bi 0.250 0.250 0.250

Results
Calculated formation energy = -0.399 eV/atom

=====

Number 1: VASP energy -3.099 eV/atom. Number 2: VASP energy -5.682 eV/atom. Number 3: VASP energy -5.863 eV/atom. Number 4: VASP energy -7.173 eV/atom. Number 5: VASP energy -4.055 eV/atom. Number 6: VASP energy -6.264 eV/atom. Number 7: VASP energy -1.170 eV/atom. Number 8: VASP energy -7.047 eV/atom. Number 9: VASP energy -4.607 eV/atom. Number 10: VASP energy -4.110 eV/atom. Number 11: VASP energy -5.134 eV/atom. Number 12: VASP energy -4.351 eV/atom. Number 13: VASP energy -3.337 eV/atom. Number 14: VASP energy -6.021 eV/atom. Number 15: VASP energy -5.875 eV/atom. Number 16: VASP energy -6.025 eV/atom. Number 17: VASP energy -2.107 eV/atom. Number 18: VASP energy -7.273 eV/atom. Number 19: VASP energy -6.690 eV/atom. Number 20: VASP energy -3.272 eV/atom.